No. 1
Material: Na2Hg6Au
Method: DFT, PBE
State: relaxed

Geometry as POSCAR:
```
Na2Hg6Au
1.0
6.803 -3.608 0.000
6.803 3.608 0.000
-0.009 0.000 4.689
Na Hg Au
2 6 1
direct
0.202 0.202 0.001
0.798 0.798 0.999
0.154 0.557 0.499
0.285 0.715 0.000
0.443 0.846 0.501
0.557 0.154 0.499
0.715 0.285 0.000
0.846 0.443 0.501
0.000 0.000 0.500
```

## Properties
- Energy of formation: -0.1421 eV per atom
- V: 25.570 Å³/atom
- Polymorph energy (0 for the lowest one): 0 meV/atom
- SG: C2/m (12)

***

No. 2
Material: Er2InSn3
Method: DFT, PBE
State: relaxed

Geometry as POSCAR:
```
Er2InSn3
1.0
6.004 -4.609 0.000
6.004 4.609 0.000
0.000 0.000 6.252
Er In Sn
4 2 6
direct
0.105 0.608 0.750
0.392 0.895 0.750
0.608 0.105 0.250
0.895 0.392 0.250
0.072 0.928 0.250
0.928 0.072 0.750
0.254 0.254 0.000
0.254 0.254 0.500
0.418 0.582 0.250
0.582 0.418 0.750
0.746 0.746 0.000
0.746 0.746 0.500
```

## Properties
- Energy of formation: -0.2289 eV per atom
- V: 28.833 Å³/atom
- Polymorph energy (0 for the lowest one): 296 meV/atom
- SG: Cmcm (63)